# Li2TiSn4

A geometry-optimized Li2TiSn4 structure (PBE, Alexandria via LeMat-Bulk).

Computed properties:
formation energy from the elements: 0.036 eV/atom
SG: No. 139
offset from the most stable computed form: 1.724 eV per formula unit

abc: 7.993 7.993 7.993
angles: 141.75 141.75 55.21
Fractional positions:
Li1 0.115 0.115 0.000
Li2 0.885 0.885 0.000
Ti1 0.500 0.500 0.000
Sn1 0.000 0.500 0.500
Sn2 0.312 0.312 0.000
Sn3 0.500 0.000 0.500
Sn4 0.688 0.688 0.000